Here is a relaxed structure of Tb4Tl3Cu from the Alexandria database. Energies are from PBE-GGA.

Results
calculated total energy = -0.2967 Ry/atom
energy of formation = -0.3220 eV/atom
spin magnetization = 0.00 μB/atom
energy above the most stable polymorph in this dataset = 0.000 eV/f.u.

POSCAR file:
```
Tb4Tl3Cu
1.0
3.591 0.000 0.000
0.000 3.591 0.000
0.000 0.000 16.161
Tb Tl Cu
4 3 1
Direct
0.000 0.000 0.104
0.000 0.000 0.368
0.000 0.000 0.632
0.000 0.000 0.896
0.500 0.500 0.236
0.500 0.500 0.500
0.500 0.500 0.764
0.500 0.500 0.000
```

***

Here is a relaxed structure of Tb4Tl3Cu from the Alexandria database. Energies are from PBE-GGA.

Results
calculated total energy = -0.2922 Ry/atom
energy of formation = -0.2608 eV/atom
spin magnetization = 0.00 μB/atom
energy above the most stable polymorph in this dataset = 0.490 eV/f.u.

POSCAR file:
```
Tb4Tl3Cu
1.0
3.857 0.000 0.000
0.000 4.810 0.000
0.000 0.000 11.711
Tb Tl Cu
4 3 1
Direct
0.000 0.000 0.000
0.000 0.500 0.270
0.500 0.000 0.458
0.500 0.500 0.779
0.000 0.000 0.716
0.000 0.500 0.539
0.500 0.500 0.049
0.500 0.000 0.205
```

***

Here is a relaxed structure of Tb11Tl9Cu4 from the Alexandria database. Energies are from PBE-GGA.

Results
calculated total energy = -0.2956 Ry/atom
energy of formation = -0.3292 eV/atom
spin magnetization = 0.00 μB/atom

POSCAR file:
```
Tb11Tl9Cu4
1.0
7.335 -11.004 0.000
7.335 11.004 0.000
0.000 0.000 3.766
Tb Tl Cu
11 9 4
Direct
0.000 0.000 0.000
0.079 0.416 0.000
0.163 0.837 0.000
0.307 0.307 0.000
0.372 0.628 0.000
0.416 0.079 0.000
0.584 0.921 0.000
0.628 0.372 0.000
0.693 0.693 0.000
0.837 0.163 0.000
0.921 0.584 0.000
0.069 0.217 0.500
0.152 0.630 0.500
0.217 0.069 0.500
0.370 0.848 0.500
0.500 0.500 0.500
0.630 0.152 0.500
0.783 0.931 0.500
0.848 0.370 0.500
0.931 0.783 0.500
0.253 0.450 0.500
0.450 0.253 0.500
0.550 0.747 0.500
0.747 0.550 0.500
```

***

Here is a relaxed structure of TbTlCu from the Alexandria database. Energies are from PBE-GGA.

Results
calculated total energy = -0.2786 Ry/atom
energy of formation = -0.0926 eV/atom
spin magnetization = 0.00 μB/atom

POSCAR file:
```
TbTlCu
1.0
4.322 0.000 0.000
0.000 4.322 0.000
0.000 0.000 7.501
Tb Tl Cu
2 2 2
Direct
0.250 0.250 0.153
0.750 0.750 0.847
0.250 0.750 0.500
0.750 0.250 0.500
0.250 0.250 0.767
0.750 0.750 0.233
```

***

Here is a relaxed structure of Tb5Tl2Cu from the Alexandria database. Energies are from PBE-GGA.

Results
calculated total energy = -0.3120 Ry/atom
energy of formation = -0.2468 eV/atom
spin magnetization = 0.00 μB/atom

POSCAR file:
```
Tb5Tl2Cu
1.0
6.797 0.000 0.000
0.000 12.846 0.000
0.000 0.000 4.994
Tb Tl Cu
10 4 2
Direct
0.000 0.000 0.000
0.105 0.282 0.000
0.175 0.597 0.500
0.325 0.097 0.500
0.395 0.782 0.000
0.500 0.500 0.000
0.605 0.218 0.000
0.675 0.903 0.500
0.825 0.403 0.500
0.895 0.718 0.000
0.139 0.851 0.500
0.361 0.351 0.500
0.639 0.649 0.500
0.861 0.149 0.500
0.000 0.500 0.000
0.500 0.000 0.000
```

***

Here is a relaxed structure of TbTlCu from the Alexandria database. Energies are from PBE-GGA.

Results
calculated total energy = -0.2786 Ry/atom
energy of formation = -0.0933 eV/atom
spin magnetization = 0.00 μB/atom

POSCAR file:
```
TbTlCu
1.0
-1.719 1.719 5.738
1.719 -1.719 5.738
1.719 1.719 -5.738
Tb Tl Cu
1 1 1
Direct
0.000 0.000 0.000
0.294 0.294 0.000
0.649 0.649 0.000
```

***

Here is a relaxed structure of Tb8Tl2Cu from the Alexandria database. Energies are from PBE-GGA.

Results
calculated total energy = -0.3164 Ry/atom
energy of formation = -0.1347 eV/atom
spin magnetization = 0.00 μB/atom

POSCAR file:
```
Tb8Tl2Cu
1.0
9.345 -2.572 0.000
9.345 2.572 0.000
-1.481 0.000 6.585
Tb Tl Cu
8 2 1
Direct
0.015 0.015 0.274
0.206 0.206 0.807
0.351 0.351 0.520
0.409 0.409 0.040
0.591 0.591 0.960
0.649 0.649 0.480
0.794 0.794 0.193
0.985 0.985 0.726
0.186 0.186 0.253
0.814 0.814 0.747
0.500 0.500 0.500
```

***

Here is a relaxed structure of Tb3Tl4Cu2 from the Alexandria database. Energies are from PBE-GGA.

Results
calculated total energy = -0.2736 Ry/atom
energy of formation = -0.2177 eV/atom
spin magnetization = 0.00 μB/atom

POSCAR file:
```
Tb3Tl4Cu2
1.0
5.495 -2.402 0.000
5.495 2.402 0.000
-3.879 0.000 8.239
Tb Tl Cu
3 4 2
Direct
0.000 0.000 0.000
0.334 0.334 0.347
0.666 0.666 0.653
0.051 0.051 0.371
0.272 0.272 0.915
0.728 0.728 0.085
0.949 0.949 0.629
0.396 0.396 0.717
0.604 0.604 0.283
```

***

Here is a relaxed structure of Tb3TlCu from the Alexandria database. Energies are from PBE-GGA.

Results
calculated total energy = -0.3040 Ry/atom
energy of formation = -0.0657 eV/atom
spin magnetization = 0.00 μB/atom

POSCAR file:
```
Tb3TlCu
1.0
3.799 0.000 0.000
0.003 9.117 0.000
0.000 3.701 8.343
Tb Tl Cu
6 2 2
Direct
0.000 0.000 0.000
0.000 0.161 0.367
0.002 0.381 0.620
0.003 0.749 0.778
0.499 0.713 0.332
0.501 0.365 0.984
0.501 0.069 0.687
0.999 0.548 0.165
0.500 0.046 0.210
0.503 0.592 0.664
```

***

Here is a relaxed structure of TbTlCu from the Alexandria database. Energies are from PBE-GGA.

Results
calculated total energy = -0.2881 Ry/atom
energy of formation = -0.2220 eV/atom
spin magnetization = 0.00 μB/atom

POSCAR file:
```
TbTlCu
1.0
4.649 0.000 0.000
-2.325 4.026 0.000
0.000 0.000 3.632
Tb Tl Cu
1 1 1
Direct
0.000 0.000 0.000
0.667 0.333 0.500
0.333 0.667 0.500
```

***

Here is a relaxed structure of TbTlCu from the Alexandria database. Energies are from PBE-GGA.

Results
calculated total energy = -0.2866 Ry/atom
energy of formation = -0.2014 eV/atom
spin magnetization = 0.00 μB/atom

POSCAR file:
```
TbTlCu
1.0
0.000 3.296 3.296
3.296 0.000 3.296
3.296 3.296 0.000
Tb Tl Cu
1 1 1
Direct
0.000 0.000 0.000
0.500 0.500 0.500
0.750 0.750 0.750
```

***

Here is a relaxed structure of TbTlCu from the Alexandria database. Energies are from PBE-GGA.

Results
calculated total energy = -0.2872 Ry/atom
energy of formation = -0.2106 eV/atom
spin magnetization = 0.00 μB/atom

POSCAR file:
```
TbTlCu
1.0
4.524 0.000 0.000
0.000 4.524 0.000
-0.026 0.000 6.779
Tb Tl Cu
2 2 2
Direct
0.248 0.250 0.207
0.752 0.750 0.793
0.251 0.250 0.736
0.749 0.750 0.264
0.251 0.750 0.500
0.749 0.250 0.500
```

***

Here is a relaxed structure of Tb7Tl2Cu2 from the Alexandria database. Energies are from PBE-GGA.

Results
calculated total energy = -0.3053 Ry/atom
energy of formation = -0.0327 eV/atom
spin magnetization = 0.00 μB/atom

POSCAR file:
```
Tb7Tl2Cu2
1.0
4.029 -5.636 0.000
4.029 5.636 0.000
0.000 0.000 7.063
Tb Tl Cu
7 2 2
Direct
0.000 0.000 0.000
0.000 0.500 0.253
0.000 0.500 0.747
0.500 0.000 0.253
0.500 0.000 0.747
0.500 0.500 0.237
0.500 0.500 0.763
0.180 0.180 0.500
0.820 0.820 0.500
0.295 0.705 0.000
0.705 0.295 0.000
```

***

Here is a relaxed structure of TbTmTlCu from the Alexandria database. Energies are from PBE-GGA.

Results
calculated total energy = -0.3041 Ry/atom
energy of formation = -0.2466 eV/atom
spin magnetization = 0.00 μB/atom

POSCAR file:
```
TbTmTlCu
1.0
0.000 3.644 3.644
3.644 0.000 3.644
3.644 3.644 0.000
Tb Tm Tl Cu
1 1 1 1
Direct
0.000 0.000 0.000
0.500 0.500 0.500
0.250 0.250 0.250
0.750 0.750 0.750
```

***

Here is a relaxed structure of TbTlZnCu from the Alexandria database. Energies are from PBE-GGA.

Results
calculated total energy = -0.2395 Ry/atom
energy of formation = -0.1671 eV/atom
spin magnetization = 0.00 μB/atom

POSCAR file:
```
TbTlZnCu
1.0
0.000 3.424 3.424
3.424 0.000 3.424
3.424 3.424 0.000
Tb Tl Zn Cu
1 1 1 1
Direct
0.000 0.000 0.000
0.500 0.500 0.500
0.750 0.750 0.750
0.250 0.250 0.250
```

***

Here is a relaxed structure of TbTm2Cu from the Alexandria database. Energies are from PBE-GGA.

Results
calculated total energy = -0.3232 Ry/atom
energy of formation = 0.0203 eV/atom
spin magnetization = 0.00 μB/atom
energy above the most stable polymorph in this dataset = 0.552 eV/f.u.

POSCAR file:
```
TbTm2Cu
1.0
1.780 1.028 9.765
-1.780 1.028 9.765
0.000 -2.055 9.765
Tb Tm Cu
1 2 1
Direct
0.000 0.000 0.000
0.234 0.234 0.234
0.766 0.766 0.766
0.500 0.500 0.500
```

***

Here is a relaxed structure of TbTm2Cu from the Alexandria database. Energies are from PBE-GGA.

Results
calculated total energy = -0.3236 Ry/atom
energy of formation = 0.0150 eV/atom
spin magnetization = 0.06 μB/atom
energy above the most stable polymorph in this dataset = 0.531 eV/f.u.

POSCAR file:
```
TbTm2Cu
1.0
1.808 1.044 9.562
-1.808 1.044 9.562
0.000 -2.087 9.562
Tb Tm Cu
1 2 1
Direct
0.000 0.000 0.000
0.566 0.566 0.566
0.766 0.766 0.766
0.165 0.165 0.165
```

***

Here is a relaxed structure of Tb2TmCu from the Alexandria database. Energies are from PBE-GGA.

Results
calculated total energy = -0.3247 Ry/atom
energy of formation = 0.0387 eV/atom
spin magnetization = 0.00 μB/atom
energy above the most stable polymorph in this dataset = 0.581 eV/f.u.

POSCAR file:
```
Tb2TmCu
1.0
1.778 1.027 9.909
-1.778 1.027 9.909
0.000 -2.053 9.909
Tb Tm Cu
2 1 1
Direct
0.236 0.236 0.236
0.764 0.764 0.764
0.000 0.000 0.000
0.500 0.500 0.500
```

***

Here is a relaxed structure of Tb4TmCu4 from the Alexandria database. Energies are from PBE-GGA.

Results
calculated total energy = -0.3244 Ry/atom
energy of formation = -0.0388 eV/atom
spin magnetization = 0.00 μB/atom

POSCAR file:
```
Tb4TmCu4
1.0
8.504 0.000 0.000
0.000 8.504 0.000
0.000 0.000 6.010
Tb Tm Cu
8 2 8
Direct
0.049 0.664 0.150
0.164 0.951 0.650
0.336 0.549 0.650
0.451 0.836 0.150
0.549 0.164 0.850
0.664 0.451 0.350
0.836 0.049 0.350
0.951 0.336 0.850
0.250 0.250 0.250
0.750 0.750 0.750
0.020 0.624 0.619
0.124 0.980 0.119
0.376 0.520 0.119
0.480 0.876 0.619
0.520 0.124 0.381
0.624 0.480 0.881
0.876 0.020 0.881
0.980 0.376 0.381
```

***

Here is a relaxed structure of Tb2Tm3Cu2 from the Alexandria database. Energies are from PBE-GGA.

Results
calculated total energy = -0.3338 Ry/atom
energy of formation = -0.1318 eV/atom
spin magnetization = 0.00 μB/atom
energy above the most stable polymorph in this dataset = 0.000 eV/f.u.

POSCAR file:
```
Tb2Tm3Cu2
1.0
6.216 -1.788 0.000
6.216 1.788 0.000
-4.094 0.000 7.970
Tb Tm Cu
2 3 2
Direct
0.155 0.155 0.313
0.845 0.845 0.687
0.385 0.385 0.056
0.500 0.500 0.500
0.615 0.615 0.944
0.169 0.169 0.732
0.831 0.831 0.268
```

***

Here is a relaxed structure of TbTm2Cu from the Alexandria database. Energies are from PBE-GGA.

Results
calculated total energy = -0.3333 Ry/atom
energy of formation = -0.1178 eV/atom
spin magnetization = 0.00 μB/atom
energy above the most stable polymorph in this dataset = 0.000 eV/f.u.

POSCAR file:
```
TbTm2Cu
1.0
6.755 0.000 0.000
0.000 9.630 0.000
0.000 0.000 6.421
Tb Tm Cu
4 8 4
Direct
0.014 0.250 0.130
0.486 0.750 0.630
0.514 0.250 0.370
0.986 0.750 0.870
0.187 0.059 0.685
0.187 0.441 0.685
0.313 0.559 0.185
0.313 0.941 0.185
0.687 0.059 0.815
0.687 0.441 0.815
0.813 0.559 0.315
0.813 0.941 0.315
0.096 0.750 0.444
0.404 0.250 0.944
0.596 0.750 0.056
0.904 0.250 0.556
```

***

Here is a relaxed structure of TbTmCu2 from the Alexandria database. Energies are from PBE-GGA.

Results
calculated total energy = -0.3370 Ry/atom
energy of formation = -0.2618 eV/atom
spin magnetization = 0.00 μB/atom
energy above the most stable polymorph in this dataset = 0.012 eV/f.u.

POSCAR file:
```
TbTmCu2
1.0
0.000 3.453 3.453
3.453 0.000 3.453
3.453 3.453 0.000
Tb Tm Cu
1 1 2
Direct
0.000 0.000 0.000
0.500 0.500 0.500
0.250 0.250 0.250
0.750 0.750 0.750
```

***

Here is a relaxed structure of TbTm2Cu from the Alexandria database. Energies are from PBE-GGA.

Results
calculated total energy = -0.3331 Ry/atom
energy of formation = -0.1144 eV/atom
spin magnetization = 0.00 μB/atom
energy above the most stable polymorph in this dataset = 0.014 eV/f.u.

POSCAR file:
```
TbTm2Cu
1.0
3.443 0.000 0.000
0.000 3.443 0.000
0.000 0.000 8.643
Tb Tm Cu
1 2 1
Direct
0.000 0.000 0.000
0.500 0.500 0.304
0.500 0.500 0.696
0.000 0.000 0.500
```

***

Here is a relaxed structure of Tb3TmCu2 from the Alexandria database. Energies are from PBE-GGA.

Results
calculated total energy = -0.3239 Ry/atom
energy of formation = 0.0194 eV/atom
spin magnetization = 0.00 μB/atom
energy above the most stable polymorph in this dataset = 1.089 eV/f.u.

POSCAR file:
```
Tb3TmCu2
1.0
-3.386 6.708 3.588
3.386 -6.708 3.588
3.386 6.708 -3.588
Tb Tm Cu
6 2 4
Direct
0.017 0.750 0.267
0.250 0.250 0.000
0.483 0.750 0.733
0.517 0.250 0.267
0.750 0.750 0.000
0.983 0.250 0.733
0.000 0.500 0.500
0.500 0.000 0.500
0.141 0.208 0.349
0.359 0.708 0.068
0.641 0.292 0.932
0.859 0.792 0.651
```